# 1
PaAsPd | PBE | optimized geometry

The calculation puts the raw total energy at -21.796 eV per cell. The calculation puts the energy of formation at -0.82 eV per atom. As for the density of states at the Fermi level: 3.3 states/eV per cell. The total magnetization comes out at 0.25 μB per cell.

The space group is P-6m2 (No. 187) and the conventional cell measures 4.3125, 4.3125 and 3.7694 Å, with angles of 90.00, 90.00 and 120.00 degrees. The distinct sites, in fractional coordinates, are Pa at (0.0000, 0.0000, 0.0000), As at (0.6667, 0.3333, 0.5000) and Pd at (0.3333, 0.6667, 0.5000).

=====

# 2
Sc4GaCuNi2 | PBE | optimized geometry

The calculation puts the raw total energy at -143.298 eV per cell. The calculation puts the energy of formation at -0.47 eV per atom. As for the density of states at the Fermi level: 13.5 states/eV per cell. The total magnetization comes out at 0.00 μB per cell.

The space group is R-3m (No. 166, hexagonal axes) and the conventional cell measures 4.5813, 4.5813 and 22.4841 Å, with angles of 90.00, 90.00 and 120.00 degrees. The distinct sites, in fractional coordinates, are Sc at (0.0000, 0.0000, 0.1222), Sc at (0.0000, 0.0000, 0.3728), Ga at (0.0000, 0.0000, 0.5000), Cu at (0.0000, 0.0000, 0.0000) and Ni at (0.0000, 0.0000, 0.2466).

=====

# 3
Ca3Hg4 | PBE | optimized geometry

The calculation puts the raw total energy at -8.466 eV per cell. The calculation puts the energy of formation at -0.18 eV per atom. As for the density of states at the Fermi level: 6.1 states/eV per cell. The total magnetization comes out at 0.00 μB per cell. The relative energy among the computed polymorphs comes out at 203 meV/atom.

The space group is P6/mmm (No. 191) and the conventional cell measures 6.9312, 6.9312 and 5.3190 Å, with angles of 90.00, 90.00 and 120.00 degrees. The distinct sites, in fractional coordinates, are Ca at (0.0000, 0.5000, 0.0000), Hg at (0.0000, 0.0000, 0.2519) and Hg at (0.3333, 0.6667, 0.5000).

=====

# 4
GaSeS | PBE | optimized geometry

The calculation puts the raw total energy at -23.310 eV per cell. As for the density of states at the Fermi level: 2.9 states/eV per cell. The total magnetization comes out at 0.00 μB per cell. The relative energy among the computed polymorphs comes out at 111 meV/atom. As for the raw formation energy: -0.3387 eV/atom.

The space group is Pm (No. 6) and the conventional cell measures 5.9782, 3.5499 and 6.9860 Å, with angles of 90.00, 99.46 and 90.00 degrees. The distinct sites, in fractional coordinates, are Ga at (0.0000, 0.0000, 0.0000), Ga at (0.4576, 0.5000, 0.7716), Se at (0.1011, 0.0000, 0.3416), Se at (0.4902, 0.5000, 0.4374), S at (0.0666, 0.5000, 0.8024) and S at (0.5963, 0.0000, 0.9705).